Entry 1:
CrCu2Ru | PBE | relaxed

* density: 9.2 g/cm3
* size of the total moment: 1.521 μB/cell
* energy: -6.579 eV per atom

a b c (Å): 4.473 4.473 4.473
angles (deg): 130.51 130.51 72.59
Element x y z (fractional)
1 Cr 0.000 0.000 0.000
2 Cu 0.500 0.500 0.000
3 Cu 0.750 0.250 0.500
4 Ru 0.250 0.750 0.500

Entry 2:
CrCu3Ru | PBE | relaxed

* density: 5.9 g/cm3
* energy above the lowest structure with this stoichiometry: 0 meV per atom
* size of the total moment: 2.874 μB/cell

a b c (Å): 4.601 4.601 4.601
angles (deg): 90.00 90.00 90.00
Element x y z (fractional)
1 Cr 0.000 0.000 0.000
2 Cu 0.000 0.500 0.500
3 Cu 0.500 0.000 0.500
4 Cu 0.500 0.500 0.000
5 Ru 0.500 0.500 0.500

Entry 3:
CrCu2Ru2 | PBE | relaxed

* density: 9.1 g/cm3
* energy above the lowest structure with this stoichiometry: 0 meV per atom
* size of the total moment: 0.676 μB/cell

a b c (Å): 7.188 7.188 7.188
angles (deg): 154.41 154.41 36.51
Element x y z (fractional)
1 Cr 0.000 0.000 0.000
2 Cu 0.250 0.750 0.500
3 Cu 0.750 0.250 0.500
4 Ru 0.404 0.404 0.000
5 Ru 0.596 0.596 0.000

Entry 4:
CrCu2Ru | PBE | relaxed

* density: 9.3 g/cm3
* size of the total moment: 0.000 μB/cell
* energy: -6.298 eV per atom

a b c (Å): 4.136 4.136 4.136
angles (deg): 60.00 60.00 60.00
Element x y z (fractional)
1 Cr 0.000 0.000 0.000
2 Cu 0.250 0.250 0.250
3 Cu 0.750 0.750 0.750
4 Ru 0.500 0.500 0.500

Entry 5:
CrCu2Ru | PBE | relaxed

* density: 9.1 g/cm3
* size of the total moment: 0.000 μB/cell
* energy: -6.515 eV per atom

a b c (Å): 2.554 2.554 8.513
angles (deg): 90.00 90.00 113.16
Element x y z (fractional)
1 Cr 0.000 0.000 0.000
2 Cu 0.000 0.000 0.507
3 Cu 0.500 0.500 0.750
4 Ru 0.500 0.500 0.241

Entry 6:
CrCu2Ru | PBE | relaxed

* density: 9.1 g/cm3
* size of the total moment: 1.981 μB/cell
* energy: -6.525 eV per atom

a b c (Å): 4.172 4.172 4.172
angles (deg): 60.00 60.00 60.00
Element x y z (fractional)
1 Cr 0.000 0.000 0.000
2 Cu 0.250 0.250 0.250
3 Cu 0.500 0.500 0.500
4 Ru 0.750 0.750 0.750

Entry 7:
CrCu2Ru | PBE | relaxed

* density: 9.3 g/cm3
* size of the total moment: 0.001 μB/cell
* energy: -6.469 eV per atom

a b c (Å): 4.691 4.691 2.579
angles (deg): 90.00 90.00 118.16
Element x y z (fractional)
1 Cr 0.000 0.000 0.000
2 Cu 0.000 0.500 0.500
3 Cu 0.500 0.000 0.500
4 Ru 0.500 0.500 0.000

Entry 8:
CrCu2Ru | PBE | relaxed

* density: 9.1 g/cm3
* size of the total moment: 1.491 μB/cell
* energy: -6.509 eV per atom

a b c (Å): 4.676 4.676 4.305
angles (deg): 101.23 101.23 33.68
Element x y z (fractional)
1 Cr 0.000 0.000 0.000
2 Cu 0.251 0.251 0.752
3 Cu 0.749 0.749 0.248
4 Ru 0.500 0.500 0.500

Entry 9:
CrCuRu | PBE | relaxed

* density: 9.0 g/cm3
* energy above the lowest structure with this stoichiometry: 131 meV per atom
* size of the total moment: 0.000 μB/cell

a b c (Å): 4.252 4.252 8.420
angles (deg): 116.29 116.29 36.52
Element x y z (fractional)
1 Cr 0.170 0.170 0.083
2 Cr 0.830 0.830 0.917
3 Cu 0.328 0.328 0.424
4 Cu 0.672 0.672 0.576
5 Ru 0.498 0.498 0.784
6 Ru 0.502 0.502 0.216

Entry 10:
Cr3CuRu | PBE | relaxed

* density: 5.4 g/cm3
* energy above the lowest structure with this stoichiometry: 0 meV per atom
* size of the total moment: 9.250 μB/cell

a b c (Å): 4.623 4.623 4.623
angles (deg): 90.00 90.00 90.00
Element x y z (fractional)
1 Cr 0.000 0.000 0.500
2 Cr 0.000 0.500 0.000
3 Cr 0.500 0.000 0.000
4 Cu 0.500 0.500 0.500
5 Ru 0.000 0.000 0.000

Entry 11:
CrCu2Ru | PBE | relaxed

* density: 9.1 g/cm3
* size of the total moment: 1.960 μB/cell
* energy: -6.591 eV per atom

a b c (Å): 3.045 3.045 5.542
angles (deg): 90.00 90.00 90.00
Element x y z (fractional)
1 Cr 0.000 0.000 0.000
2 Cu 0.000 0.000 0.491
3 Cu 0.500 0.500 0.271
4 Ru 0.500 0.500 0.778

Entry 12:
CrCuRu | PBE | relaxed

* density: 9.2 g/cm3
* energy above the lowest structure with this stoichiometry: 159 meV per atom
* size of the total moment: 0.000 μB/cell

a b c (Å): 6.789 6.602 2.557
angles (deg): 83.14 74.89 21.96
Element x y z (fractional)
1 Cr 0.000 0.000 0.000
2 Cu 0.335 0.335 0.665
3 Ru 0.659 0.659 0.341

Entry 13:
CrCu2Ru | PBE | relaxed

* density: 9.2 g/cm3
* size of the total moment: 1.445 μB/cell
* energy: -6.557 eV per atom

a b c (Å): 4.784 4.784 4.784
angles (deg): 136.82 136.82 62.72
Element x y z (fractional)
1 Cr 0.000 0.000 0.000
2 Cu 0.250 0.750 0.500
3 Cu 0.750 0.250 0.500
4 Ru 0.500 0.500 0.000

Entry 14:
CrCu2Ru | PBE | relaxed

* density: 9.2 g/cm3
* size of the total moment: 0.280 μB/cell
* energy: -6.427 eV per atom

a b c (Å): 8.829 8.829 8.829
angles (deg): 16.87 16.87 16.87
Element x y z (fractional)
1 Cr 0.000 0.000 0.000
2 Cu 0.252 0.252 0.252
3 Cu 0.748 0.748 0.748
4 Ru 0.500 0.500 0.500

Entry 15:
CrCu2Ru2 | PBE | relaxed

* density: 8.8 g/cm3
* energy above the lowest structure with this stoichiometry: 64 meV per atom
* size of the total moment: 0.009 μB/cell

a b c (Å): 6.042 6.042 3.926
angles (deg): 90.00 90.00 90.00
Element x y z (fractional)
1 Cr 0.000 0.000 0.000
2 Cr 0.500 0.500 0.000
3 Cu 0.157 0.343 0.500
4 Cu 0.343 0.843 0.500
5 Cu 0.657 0.157 0.500
6 Cu 0.843 0.657 0.500
7 Ru 0.144 0.644 0.000
8 Ru 0.356 0.144 0.000
9 Ru 0.644 0.856 0.000
10 Ru 0.856 0.356 0.000

Entry 16:
CrCu2Ru | PBE | relaxed

* density: 9.2 g/cm3
* size of the total moment: 0.000 μB/cell
* energy: -6.617 eV per atom

a b c (Å): 8.641 8.641 8.641
angles (deg): 17.47 17.47 17.47
Element x y z (fractional)
1 Cr 0.000 0.000 0.000
2 Cu 0.249 0.249 0.249
3 Cu 0.501 0.501 0.501
4 Ru 0.745 0.745 0.745

Entry 17:
CrCuRu | PBE | relaxed

* density: 9.3 g/cm3
* energy above the lowest structure with this stoichiometry: 21 meV per atom
* size of the total moment: 0.000 μB/cell

a b c (Å): 2.640 2.640 6.401
angles (deg): 90.00 90.00 120.00
Element x y z (fractional)
1 Cr 0.000 0.000 0.000
2 Cu 0.667 0.333 0.334
3 Ru 0.333 0.667 0.690

Entry 18:
CrCuRu | PBE | relaxed

* density: 9.4 g/cm3
* energy above the lowest structure with this stoichiometry: 4 meV per atom
* size of the total moment: 1.056 μB/cell

a b c (Å): 4.680 4.680 4.680
angles (deg): 142.07 142.07 54.72
Element x y z (fractional)
1 Cr 0.000 0.000 0.000
2 Cu 0.665 0.665 0.000
3 Ru 0.346 0.346 0.000

Entry 19:
CrCuRu | PBE | relaxed

* density: 9.5 g/cm3
* energy above the lowest structure with this stoichiometry: 0 meV per atom
* size of the total moment: 0.004 μB/cell

a b c (Å): 4.493 4.493 4.493
angles (deg): 145.42 132.16 60.36
Element x y z (fractional)
1 Cr 0.000 0.000 0.000
2 Cu 0.667 0.667 0.000
3 Ru 0.337 0.337 0.000

Entry 20:
CrCu2Ru | PBE | relaxed

* density: 8.6 g/cm3
* size of the total moment: 0.036 μB/cell
* energy: -5.958 eV per atom

a b c (Å): 5.335 5.335 5.335
angles (deg): 101.46 101.46 127.05
Element x y z (fractional)
1 Cr 0.000 0.000 0.000
2 Cr 0.750 0.250 0.500
3 Cu 0.113 0.625 0.988
4 Cu 0.375 0.363 0.488
5 Cu 0.637 0.125 0.012
6 Cu 0.875 0.887 0.512
7 Ru 0.250 0.750 0.500
8 Ru 0.500 0.500 0.000

Entry 21:
CrCuRu | PBE | relaxed

* density: 8.1 g/cm3
* energy above the lowest structure with this stoichiometry: 413 meV per atom
* size of the total moment: 1.361 μB/cell

a b c (Å): 3.976 3.976 3.976
angles (deg): 60.00 60.00 60.00
Element x y z (fractional)
1 Cr 0.000 0.000 0.000
2 Cu 0.250 0.250 0.250
3 Ru 0.750 0.750 0.750

Entry 22:
CrCu2SnRu | PBE | relaxed

* density: 7.3 g/cm3
* size of the total moment: 0.001 μB/cell
* energy: -4.738 eV per atom

a b c (Å): 4.345 4.345 4.821
angles (deg): 90.00 90.00 90.00
Element x y z (fractional)
1 Cr 0.000 0.000 0.000
2 Cu 0.000 0.500 0.000
3 Cu 0.500 0.000 0.000
4 Sn 0.000 0.000 0.500
5 Ru 0.500 0.500 0.500

Entry 23:
TaCrCuRu | PBE | relaxed

* density: 11.5 g/cm3
* size of the total moment: 2.366 μB/cell
* energy: -8.654 eV per atom

a b c (Å): 4.330 4.330 4.330
angles (deg): 60.00 60.00 60.00
Element x y z (fractional)
1 Ta 0.000 0.000 0.000
2 Cr 0.750 0.750 0.750
3 Cu 0.500 0.500 0.500
4 Ru 0.250 0.250 0.250

Entry 24:
VCrCuRu | PBE | relaxed

* density: 8.5 g/cm3
* size of the total moment: 2.082 μB/cell
* energy: -7.940 eV per atom

a b c (Å): 4.200 4.200 4.200
angles (deg): 60.00 60.00 60.00
Element x y z (fractional)
1 V 0.000 0.000 0.000
2 Cr 0.250 0.250 0.250
3 Cu 0.500 0.500 0.500
4 Ru 0.750 0.750 0.750

Entry 25:
Cr3CuS | PBE | relaxed

* density: 4.2 g/cm3
* energy above the lowest structure with this stoichiometry: 660 meV per atom
* size of the total moment: 12.146 μB/cell
* uncorrected formation energy: 1.257 eV/atom

a b c (Å): 4.632 4.632 4.632
angles (deg): 90.00 90.00 90.00
Element x y z (fractional)
1 Cr 0.000 0.000 0.500
2 Cr 0.000 0.500 0.000
3 Cr 0.500 0.000 0.000
4 Cu 0.000 0.000 0.000
5 S 0.500 0.500 0.500

Entry 26:
CrCuS2 | PBE | relaxed

* density: 3.9 g/cm3
* size of the total moment: 3.029 μB/cell
* uncorrected formation energy: -0.305 eV/atom

a b c (Å): 6.706 6.706 6.706
angles (deg): 32.30 32.30 32.30
Element x y z (fractional)
1 Cr 0.000 0.000 0.000
2 Cu 0.424 0.424 0.424
3 S 0.277 0.277 0.277
4 S 0.759 0.759 0.759

Entry 27:
Cr2Cu2S5 | PBE | relaxed

* density: 4.2 g/cm3
* size of the total moment: 3.073 μB/cell
* uncorrected formation energy: -0.384 eV/atom

a b c (Å): 13.720 13.720 13.720
angles (deg): 15.28 15.28 15.28
Element x y z (fractional)
1 Cr 0.000 0.000 0.000
2 Cr 0.167 0.167 0.167
3 Cu 0.586 0.586 0.586
4 Cu 0.748 0.748 0.748
5 S 0.058 0.058 0.058
6 S 0.530 0.530 0.530
7 S 0.667 0.667 0.667
8 S 0.803 0.803 0.803
9 S 0.942 0.942 0.942

Entry 28:
Cr2CuS4 | PBE | relaxed

* density: 3.6 g/cm3
* energy above the lowest structure with this stoichiometry: 200 meV per atom
* size of the total moment: 19.989 μB/cell
* uncorrected formation energy: -0.435 eV/atom

a b c (Å): 6.237 7.194 12.483
angles (deg): 97.81 94.94 90.30
Element x y z (fractional)
1 Cr 0.125 0.446 0.285
2 Cr 0.131 0.945 0.281
3 Cr 0.256 0.622 0.999
4 Cr 0.348 0.801 0.717
5 Cr 0.652 0.199 0.283
6 Cr 0.744 0.378 0.001
7 Cr 0.869 0.055 0.719
8 Cr 0.875 0.554 0.715
9 Cu 0.250 0.126 0.999
10 Cu 0.381 0.301 0.718
11 Cu 0.619 0.699 0.282
12 Cu 0.750 0.874 0.001
13 S 0.097 0.405 0.103
14 S 0.109 0.898 0.102
15 S 0.186 0.037 0.647
16 S 0.191 0.532 0.644
17 S 0.297 0.714 0.356
18 S 0.322 0.211 0.349
19 S 0.395 0.846 0.894
20 S 0.402 0.352 0.903
21 S 0.598 0.648 0.097
22 S 0.605 0.154 0.106
23 S 0.678 0.789 0.651
24 S 0.703 0.286 0.644
25 S 0.809 0.468 0.356
26 S 0.814 0.963 0.353
27 S 0.891 0.102 0.898
28 S 0.903 0.595 0.897